! PBE LiHo3Np3N8, relaxed; values from VASP
&SYSTEM
  ibrav = 0, nat = 15, ntyp = 4
/
ATOMIC_SPECIES
Li 6.94 Li.upf
Ho 164.93 Ho.upf
Np 237.00 Np.upf
N 14.01 N.upf
CELL_PARAMETERS angstrom
6.7088 -0.0003 0.0002
-3.3546 5.8098 -0.0205
0.0002 -3.8539 5.5308
ATOMIC_POSITIONS crystal
Li 0.0000 0.0000 0.5000
Ho 0.0000 0.0000 0.0000
Ho 0.0000 0.5000 0.0000
Ho 0.5000 0.5000 0.0000
Np 0.5000 0.0000 0.5000
Np 0.5000 0.5000 0.5000
Np 0.0000 0.5000 0.5000
N 0.2475 0.4951 0.2426
N 0.7525 0.5049 0.7574
N 0.7570 0.5142 0.2842
N 0.2430 0.4858 0.7158
N 0.7572 0.0272 0.2841
N 0.2428 0.9728 0.7159
N 0.2701 0.0271 0.2843
N 0.7299 0.9729 0.7157
! **E_form (uncorrected)**: -1068 meV per atom
! **N(E_F)**: 10.09 states/eV per cell
! **Density**: 10.2 g/cm3
! **VASP energy**: -137.1 eV/cell

! PBE Na3In3Hg8, relaxed; values from VASP
&SYSTEM
  ibrav = 0, nat = 14, ntyp = 3
/
ATOMIC_SPECIES
Na 22.99 Na.upf
In 114.82 In.upf
Hg 200.59 Hg.upf
CELL_PARAMETERS angstrom
-3.8320 -3.1070 1.3410
0.4148 -7.3375 -6.0701
4.1569 -8.0235 3.0334
ATOMIC_POSITIONS crystal
Na 0.5000 0.5000 0.5000
Na 0.7705 0.2295 0.2295
Na 0.2295 0.7705 0.7705
In 0.5000 0.0000 0.0000
In 0.0000 0.8253 0.1747
In 0.0000 0.1747 0.8253
Hg 0.6538 0.0333 0.6590
Hg 0.3462 0.9667 0.3410
Hg 0.6538 0.6590 0.0333
Hg 0.3462 0.3410 0.9667
Hg 0.8469 0.7992 0.5069
Hg 0.1531 0.2008 0.4931
Hg 0.8469 0.5069 0.7992
Hg 0.1531 0.4931 0.2008
! **Offset from the most stable computed form**: 0.000 eV/atom
! **N(E_F)**: 5.68 states/eV per cell
! **DFT formation energy**: -0.122 eV/atom
! **Density**: 8.6 g/cm3
! **VASP energy**: -16.3 eV/cell

! PBE YBe2GaAu, relaxed; values from VASP
&SYSTEM
  ibrav = 0, nat = 5, ntyp = 4
/
ATOMIC_SPECIES
Y 88.91 Y.upf
Be 9.01 Be.upf
Au 196.97 Au.upf
Ga 69.72 Ga.upf
CELL_PARAMETERS angstrom
4.3076 0.0000 0.0000
0.0000 5.0320 0.0000
0.0000 0.0000 4.3076
ATOMIC_POSITIONS crystal
Y 0.5000 0.5000 0.5000
Be 0.0000 0.0000 0.5000
Be 0.5000 0.0000 0.0000
Au 0.0000 0.5000 0.0000
Ga 0.0000 0.0000 0.0000
! **N(E_F)**: 2.28 states/eV per cell
! **DFT formation energy**: 0.208 eV/atom
! **Density**: 6.6 g/cm3
! **VASP energy**: -19.2 eV/cell

! PBE MgTl3Ag2Cl9, relaxed; values from VASP
&SYSTEM
  ibrav = 0, nat = 15, ntyp = 4
/
ATOMIC_SPECIES
Mg 24.30 Mg.upf
Tl 204.38 Tl.upf
Ag 107.87 Ag.upf
Cl 35.45 Cl.upf
CELL_PARAMETERS angstrom
7.2002 0.0000 0.0000
-3.6001 6.2356 0.0000
0.0000 0.0000 8.8794
ATOMIC_POSITIONS crystal
Mg 0.0000 0.0000 0.5000
Tl 0.3333 0.6667 0.6455
Tl 0.0000 0.0000 0.0000
Tl 0.6667 0.3333 0.3545
Ag 0.3333 0.6667 0.1643
Ag 0.6667 0.3333 0.8357
Cl 0.8360 0.1640 0.6627
Cl 0.8360 0.6720 0.6627
Cl 0.3280 0.1640 0.6627
Cl 0.6720 0.8360 0.3373
Cl 0.1640 0.3280 0.3373
Cl 0.1640 0.8360 0.3373
Cl 0.5000 0.0000 0.0000
Cl 0.0000 0.5000 0.0000
Cl 0.5000 0.5000 0.0000
! **E_form (uncorrected)**: -898 meV per atom
! **N(E_F)**: 3.50 states/eV per cell
! **Density**: 4.9 g/cm3
! **VASP energy**: -44.5 eV/cell

! PBE Al2SnP, relaxed; values from VASP
&SYSTEM
  ibrav = 0, nat = 4, ntyp = 3
/
ATOMIC_SPECIES
P 30.97 P.upf
Sn 118.71 Sn.upf
Al 26.98 Al.upf
CELL_PARAMETERS angstrom
-2.1713 2.4075 -1.6055
-3.5560 -0.0463 0.6636
-0.9633 5.2264 5.0639
ATOMIC_POSITIONS crystal
P 0.0000 0.0000 0.0000
Sn 0.5000 0.5000 0.5000
Al 0.2673 0.2673 0.1982
Al 0.7327 0.7327 0.8018
! **Offset from the most stable computed form**: 0.000 eV/atom
! **N(E_F)**: 1.28 states/eV per cell
! **DFT formation energy**: -0.115 eV/atom
! **Density**: 4.2 g/cm3
! **VASP energy**: -17.4 eV/cell

! PBE RbFeAsPb2, relaxed; values from VASP
&SYSTEM
  ibrav = 0, nat = 5, ntyp = 4
/
ATOMIC_SPECIES
Pb 207.20 Pb.upf
As 74.92 As.upf
Fe 55.84 Fe.upf
Rb 85.47 Rb.upf
CELL_PARAMETERS angstrom
5.6336 0.0000 0.0000
0.0000 6.3432 0.0000
0.0000 0.0000 5.6336
ATOMIC_POSITIONS crystal
Pb 0.0000 0.0000 0.5000
Pb 0.5000 0.0000 0.0000
As 0.0000 0.0000 0.0000
Fe 0.5000 0.5000 0.5000
Rb 0.0000 0.5000 0.0000
! **N(E_F)**: 9.99 states/eV per cell
! **DFT formation energy**: 0.904 eV/atom
! **Density**: 5.2 g/cm3
! **VASP energy**: -17.0 eV/cell